Entry 1:
The following is a PBE-GGA calculation of crystalline BaSrO at its relaxed geometry, from Alexandria.

Values from the calculation:
For the energy above the most stable polymorph in this dataset, the calculation gives 0 meV per atom.

```
6
Lattice="8.013 -2.148 0.000 8.013 2.148 0.000 -3.058 0.000 7.058" Properties=species:S:1:pos:R:3 pbc="T T T"
Ba 1.033 0.000 1.875
Ba 11.937 0.000 5.183
Sr 5.067 0.000 0.996
Sr 7.902 0.000 6.062
O 2.768 0.000 0.180
O 10.202 0.000 6.878
```



Entry 2:
The following is a PBE-GGA calculation of crystalline BaSrO at its relaxed geometry, from Alexandria.

Values from the calculation:
For the energy above the most stable polymorph in this dataset, the calculation gives 116 meV per atom.

```
3
Lattice="3.890 0.000 0.000 -1.945 3.369 0.000 0.000 0.000 7.137" Properties=species:S:1:pos:R:3 pbc="T T T"
Ba 0.000 0.000 0.000
Sr 1.945 1.123 4.075
O 0.000 2.246 5.242
```



Entry 3:
The following is a PBE-GGA calculation of crystalline Ba5SrO6 at its relaxed geometry, from Alexandria.

```
12
Lattice="3.393 -5.898 0.000 3.393 5.898 0.000 -2.232 0.000 6.400" Properties=species:S:1:pos:R:3 pbc="T T T"
Ba 0.000 0.000 0.000
Ba 2.278 3.927 3.200
Ba 3.393 1.936 0.000
Ba 3.393 -1.936 0.000
Ba 2.278 -3.927 3.200
Sr 2.278 0.000 3.200
O 1.182 1.890 1.640
O 0.106 0.000 4.772
O 1.182 -1.890 1.640
O 3.373 1.890 4.761
O 4.449 0.000 1.629
O 3.373 -1.890 4.761
```



Entry 4:
The following is a PBE-GGA calculation of crystalline BaSr5O6 at its relaxed geometry, from Alexandria.

```
12
Lattice="3.231 -5.606 0.000 3.231 5.606 0.000 -2.141 0.000 6.089" Properties=species:S:1:pos:R:3 pbc="T T T"
Ba 0.000 0.000 0.000
Sr 2.161 3.710 3.044
Sr 3.231 1.873 0.000
Sr 2.161 0.000 3.044
Sr 3.231 -1.873 0.000
Sr 2.161 -3.710 3.044
O 1.121 1.936 1.549
O 0.087 0.000 4.529
O 1.121 -1.936 1.549
O 3.201 1.936 4.540
O 4.235 0.000 1.560
O 3.201 -1.936 4.540
```



Total moment across the listed records, respectively: 0.00 0.31 0.00 0.00 μB/f.u..
ΔE_f (raw) across the listed records, respectively: -5.04 -4.69 -30.01 -32.06 eV/f.u..